1.
This record from the Alexandria database describes a PBEsol-optimized structure of Ti8O13. The functional is meta-GGA SCAN.

Geometry as POSCAR:
```
Ti8O13
1.0
3.8489 2.2222 4.6431
-3.8489 2.2222 4.6431
0.0000 -4.4443 4.6431
Ti O
8 13
Direct
0.1857 0.4438 0.6220
0.2236 0.2236 0.2236
0.3780 0.8143 0.5562
0.4438 0.6220 0.1857
0.5562 0.3780 0.8143
0.6220 0.1857 0.4438
0.7764 0.7764 0.7764
0.8143 0.5562 0.3780
0.0802 0.7593 0.6702
0.1428 0.5414 0.2960
0.2407 0.3298 0.9198
0.2960 0.1428 0.5414
0.3298 0.9198 0.2407
0.4586 0.7040 0.8572
0.5000 0.5000 0.5000
0.5414 0.2960 0.1428
0.6702 0.0802 0.7593
0.7040 0.8572 0.4586
0.7593 0.6702 0.0802
0.8572 0.4586 0.7040
0.9198 0.2407 0.3298
```

Output
M_tot: 0.0 μB/f.u.
Space-group type: R-3, No. 148
Formation energy (no corrections): -3.19 eV/atom

---

2.
This record from the Alexandria database describes a PBEsol-optimized structure of Ti2O3. The functional is meta-GGA SCAN.

Geometry as POSCAR:
```
Ti2O3
1.0
5.0221 0.0000 0.0000
-2.5111 4.3493 0.0000
0.0000 0.0000 9.6870
Ti O
8 12
Direct
0.0000 0.0000 0.0000
0.0000 0.0000 0.5000
0.3333 0.6667 0.0208
0.3333 0.6667 0.4792
0.3333 0.6667 0.7500
0.6667 0.3333 0.2500
0.6667 0.3333 0.5208
0.6667 0.3333 0.9792
0.0245 0.3469 0.6191
0.0245 0.6776 0.8809
0.3224 0.3469 0.8809
0.3224 0.9755 0.6191
0.3469 0.0245 0.1191
0.3469 0.3224 0.3809
0.6531 0.6776 0.6191
0.6531 0.9755 0.8809
0.6776 0.0245 0.3809
0.6776 0.6531 0.1191
0.9755 0.3224 0.1191
0.9755 0.6531 0.3809
```

Output
M_tot: 0.0 μB/f.u.
N(E_F): 10.93 states/eV/cell
Space-group type: P-31c, No. 163
Formation energy (no corrections): -3.07 eV/atom

---

Short version: E_tot = -13.15; -13.22 eV/atom, in the order given.